# 1
! Na5Ac3Se12 (GGA-PBE, optimized geometry); values from VASP
&SYSTEM
  ibrav = 0, nat = 80, ntyp = 3
/
ATOMIC_SPECIES
Na 22.99 Na.upf
Ac 227.00 Ac.upf
Se 78.96 Se.upf
CELL_PARAMETERS angstrom
-9.0333 9.0333 9.0333
9.0333 -9.0333 9.0333
9.0333 9.0333 -9.0333
ATOMIC_POSITIONS crystal
Na 0.0000 0.0000 0.0000
Na 0.0000 0.0000 0.5000
Na 0.0000 0.5000 0.0000
Na 0.0000 0.5000 0.5000
Na 0.1250 0.7500 0.8750
Na 0.1250 0.8750 0.2500
Na 0.2500 0.1250 0.8750
Na 0.2500 0.6250 0.3750
Na 0.3750 0.2500 0.6250
Na 0.3750 0.6250 0.7500
Na 0.5000 0.0000 0.0000
Na 0.5000 0.0000 0.5000
Na 0.5000 0.5000 0.0000
Na 0.5000 0.5000 0.5000
Na 0.6250 0.3750 0.2500
Na 0.6250 0.7500 0.3750
Na 0.7500 0.3750 0.6250
Na 0.7500 0.8750 0.1250
Na 0.8750 0.1250 0.7500
Na 0.8750 0.2500 0.1250
Ac 0.1250 0.2500 0.3750
Ac 0.1250 0.3750 0.7500
Ac 0.2500 0.3750 0.1250
Ac 0.2500 0.8750 0.6250
Ac 0.3750 0.1250 0.2500
Ac 0.3750 0.7500 0.1250
Ac 0.6250 0.2500 0.8750
Ac 0.6250 0.8750 0.7500
Ac 0.7500 0.1250 0.3750
Ac 0.7500 0.6250 0.8750
Ac 0.8750 0.6250 0.2500
Ac 0.8750 0.7500 0.6250
Se 0.0749 0.2660 0.1659
Se 0.0749 0.3089 0.9090
Se 0.0910 0.6659 0.3999
Se 0.0910 0.9251 0.6911
Se 0.1001 0.7660 0.6911
Se 0.1001 0.8341 0.4090
Se 0.1659 0.0749 0.2660
Se 0.1659 0.5910 0.8999
Se 0.1911 0.2660 0.6001
Se 0.1911 0.4251 0.5910
Se 0.2340 0.3089 0.8999
Se 0.2340 0.4251 0.3341
Se 0.2660 0.1659 0.0749
Se 0.2660 0.6001 0.1911
Se 0.3089 0.8999 0.2340
Se 0.3089 0.9090 0.0749
Se 0.3341 0.2340 0.4251
Se 0.3341 0.6001 0.9090
Se 0.3999 0.0910 0.6659
Se 0.3999 0.8089 0.7340
Se 0.4090 0.1001 0.8341
Se 0.4090 0.8089 0.5749
Se 0.4251 0.3341 0.2340
Se 0.4251 0.5910 0.1911
Se 0.5749 0.4090 0.8089
Se 0.5749 0.6659 0.7660
Se 0.5910 0.1911 0.4251
Se 0.5910 0.8999 0.1659
Se 0.6001 0.1911 0.2660
Se 0.6001 0.9090 0.3341
Se 0.6659 0.3999 0.0910
Se 0.6659 0.7660 0.5749
Se 0.6911 0.0910 0.9251
Se 0.6911 0.1001 0.7660
Se 0.7340 0.3999 0.8089
Se 0.7340 0.8341 0.9251
Se 0.7660 0.5749 0.6659
Se 0.7660 0.6911 0.1001
Se 0.8089 0.5749 0.4090
Se 0.8089 0.7340 0.3999
Se 0.8341 0.4090 0.1001
Se 0.8341 0.9251 0.7340
Se 0.8999 0.1659 0.5910
Se 0.8999 0.2340 0.3089
Se 0.9090 0.0749 0.3089
Se 0.9090 0.3341 0.6001
Se 0.9251 0.6911 0.0910
Se 0.9251 0.7340 0.8341
! ΔE_f (raw): -0.98 eV per atom
! total moment: 0.0000 μB/atom
! calculated density: 3.9 g cm⁻³

# 2
! MnFeSb (GGA-PBE, optimized geometry); values from VASP
&SYSTEM
  ibrav = 0, nat = 3, ntyp = 3
/
ATOMIC_SPECIES
Mn 54.94 Mn.upf
Fe 55.84 Fe.upf
Sb 121.76 Sb.upf
CELL_PARAMETERS angstrom
-1.6921 1.6921 4.0808
1.6921 -1.6921 4.0808
1.6921 1.6921 -4.0808
ATOMIC_POSITIONS crystal
Mn 0.0000 0.0000 0.0000
Fe 0.6566 0.6566 0.0000
Sb 0.3273 0.3273 0.0000
! ΔE_f (raw): 0.15 eV per atom
! total moment: 1.8420 μB/atom
! calculated density: 8.3 g cm⁻³

# 3
! AcLaIrRu (GGA-PBE, optimized geometry); values from VASP
&SYSTEM
  ibrav = 0, nat = 4, ntyp = 4
/
ATOMIC_SPECIES
Ac 227.00 Ac.upf
La 138.91 La.upf
Ir 192.22 Ir.upf
Ru 101.07 Ru.upf
CELL_PARAMETERS angstrom
0.0000 3.6410 3.6410
3.6410 0.0000 3.6410
3.6410 3.6410 0.0000
ATOMIC_POSITIONS crystal
Ac 0.0000 0.0000 0.0000
La 0.5000 0.5000 0.5000
Ir 0.2500 0.2500 0.2500
Ru 0.7500 0.7500 0.7500
! electronic total energy: -7.0055 eV/atom
! total moment: 0.0000 μB/atom
! calculated density: 11.3 g cm⁻³

# 4
! Er4Mg3Ir (GGA-PBE, optimized geometry); values from VASP
&SYSTEM
  ibrav = 0, nat = 8, ntyp = 3
/
ATOMIC_SPECIES
Er 167.26 Er.upf
Mg 24.30 Mg.upf
Ir 192.22 Ir.upf
CELL_PARAMETERS angstrom
3.5378 0.0000 0.0000
0.0000 3.5378 0.0000
0.0000 0.0000 15.9533
ATOMIC_POSITIONS crystal
Er 0.0000 0.0000 0.0989
Er 0.0000 0.0000 0.3700
Er 0.0000 0.0000 0.6300
Er 0.0000 0.0000 0.9011
Mg 0.5000 0.5000 0.2385
Mg 0.5000 0.5000 0.5000
Mg 0.5000 0.5000 0.7615
Ir 0.5000 0.5000 0.0000
! electronic total energy: -4.2817 eV/atom
! total moment: 0.0001 μB/atom
! calculated density: 7.8 g cm⁻³